Zr2SiAu | Alexandria | PBE | relaxed; total magnetic moment = 1.41 Bohr magnetons per cell; crystal system = cubic; formation energy from raw total energies = 0.099 eV/atom; E = -0.233 hartree per atom
1.0
-1.956 3.528 2.548
-4.534 1.269 -0.771
-3.340 -0.982 3.263
Au Si Zr
1 1 2
direct
0.500 0.500 0.500
0.750 0.750 0.750
0.000 0.000 0.000
0.250 0.250 0.250


ZrSi2Au | Alexandria | PBE | relaxed; total magnetic moment = 0.00 Bohr magnetons per cell; crystal system = orthorhombic; formation energy from raw total energies = -0.411 eV/atom; E = -0.223 hartree per atom
1.0
-1.574 -0.895 -3.539
-2.413 -1.550 1.465
-2.910 4.644 0.120
Si Au Zr
2 1 1
direct
0.000 0.750 0.030
0.000 0.750 0.470
0.500 0.750 0.750
0.500 0.250 0.250